# Rb2Si2Bi

A geometry-optimized Rb2Si2Bi structure (GGA-PBEsol, Alexandria via LeMat-Bulk).

```
data_Rb2Si2Bi
_space_group_name_H-M_alt 'P 1'
_space_group_IT_number 1
_space_group_name_Hall 'P 1'
_cell_length_a 5.641
_cell_length_b 7.456
_cell_length_c 7.456
_cell_angle_alpha 90.00
_cell_angle_beta 90.00
_cell_angle_gamma 90.00
loop_
_atom_site_label
_atom_site_fract_x
_atom_site_fract_y
_atom_site_fract_z
_atom_site_occupancy
Rb1 0.500 0.196 0.696 1
Rb2 0.500 0.804 0.304 1
Rb3 0.500 0.304 0.196 1
Rb4 0.500 0.696 0.804 1
Bi1 0.000 0.000 0.000 1
Bi2 0.000 0.500 0.500 1
Si1 0.000 0.606 0.106 1
Si2 0.000 0.894 0.606 1
Si3 0.000 0.394 0.894 1
Si4 0.000 0.106 0.394 1
```

Summary:
SG: P4/mbm (127)
Formation energy from raw total energies: 0.077 eV/atom
Calculated volume: 313.6 Å³ per cell


# KPbCl3

A geometry-optimized KPbCl3 structure (GGA-PBEsol, Alexandria via LeMat-Bulk).

```
data_KPbCl3
_space_group_name_H-M_alt 'P 1'
_space_group_IT_number 1
_space_group_name_Hall 'P 1'
_cell_length_a 5.508
_cell_length_b 5.629
_cell_length_c 5.676
_cell_angle_alpha 96.11
_cell_angle_beta 90.00
_cell_angle_gamma 90.00
loop_
_atom_site_label
_atom_site_fract_x
_atom_site_fract_y
_atom_site_fract_z
_atom_site_occupancy
K1 0.500 0.868 0.082 1
Cl1 0.500 0.615 0.545 1
Cl2 0.000 0.525 0.990 1
Cl3 0.000 0.030 0.399 1
Pb1 0.000 0.522 0.494 1
```

Summary:
SG: Pm (6)
Formation energy from raw total energies: -1.407 eV/atom
Calculated volume: 175.0 Å³ per cell


# Mo2NCl

A geometry-optimized Mo2NCl structure (GGA-PBEsol, Alexandria via LeMat-Bulk).

```
data_Mo2NCl
_space_group_name_H-M_alt 'P 1'
_space_group_IT_number 1
_space_group_name_Hall 'P 1'
_cell_length_a 4.321
_cell_length_b 4.321
_cell_length_c 6.934
_cell_angle_alpha 108.16
_cell_angle_beta 108.16
_cell_angle_gamma 90.00
loop_
_atom_site_label
_atom_site_fract_x
_atom_site_fract_y
_atom_site_fract_z
_atom_site_occupancy
Cl1 0.000 0.000 0.000 1
Cl2 0.250 0.750 0.500 1
Mo1 0.125 0.204 0.750 1
Mo2 0.454 0.875 0.250 1
Mo3 0.796 0.375 0.250 1
Mo4 0.625 0.546 0.750 1
N1 0.500 0.500 0.000 1
N2 0.750 0.250 0.500 1
```

Summary:
SG: I-42d (122)
Formation energy from raw total energies: 0.121 eV/atom
Calculated volume: 116.2 Å³ per cell


# CrNiBr2

A geometry-optimized CrNiBr2 structure (GGA-PBEsol, Alexandria via LeMat-Bulk).

```
data_CrNiBr2
_space_group_name_H-M_alt 'P 1'
_space_group_IT_number 1
_space_group_name_Hall 'P 1'
_cell_length_a 3.367
_cell_length_b 3.577
_cell_length_c 7.113
_cell_angle_alpha 104.56
_cell_angle_beta 103.69
_cell_angle_gamma 90.00
loop_
_atom_site_label
_atom_site_fract_x
_atom_site_fract_y
_atom_site_fract_z
_atom_site_occupancy
Br1 0.986 0.986 0.973 1
Br2 0.733 0.233 0.467 1
Ni1 0.212 0.712 0.425 1
Cr1 0.568 0.568 0.136 1
```

Summary:
E above lowest polymorph: 222 meV/atom
SG: Imm2 (44)
Formation energy from raw total energies: 0.173 eV/atom
Calculated volume: 80.4 Å³ per cell


# KTl2Cd

A geometry-optimized KTl2Cd structure (GGA-PBEsol, Alexandria via LeMat-Bulk).

```
data_KTl2Cd
_space_group_name_H-M_alt 'P 1'
_space_group_IT_number 1
_space_group_name_Hall 'P 1'
_cell_length_a 3.691
_cell_length_b 6.319
_cell_length_c 5.923
_cell_angle_alpha 114.54
_cell_angle_beta 90.00
_cell_angle_gamma 106.98
loop_
_atom_site_label
_atom_site_fract_x
_atom_site_fract_y
_atom_site_fract_z
_atom_site_occupancy
Cd1 0.000 0.000 0.500 1
Tl1 0.278 0.555 0.281 1
Tl2 0.722 0.445 0.719 1
K1 0.500 0.000 0.000 1
```

Summary:
Formation energy: -0.022 eV per atom
SG: C2/m (12)
Calculated volume: 119.0 Å³ per cell


# Zr2BeSi

A geometry-optimized Zr2BeSi structure (GGA-PBEsol, Alexandria via LeMat-Bulk).

```
data_Zr2BeSi
_space_group_name_H-M_alt 'P 1'
_space_group_IT_number 1
_space_group_name_Hall 'P 1'
_cell_length_a 3.617
_cell_length_b 3.749
_cell_length_c 5.257
_cell_angle_alpha 110.89
_cell_angle_beta 90.00
_cell_angle_gamma 90.00
loop_
_atom_site_label
_atom_site_fract_x
_atom_site_fract_y
_atom_site_fract_z
_atom_site_occupancy
Zr1 0.000 0.977 0.954 1
Zr2 0.500 0.269 0.538 1
Si1 0.500 0.556 0.112 1
Be1 0.000 0.694 0.388 1
```

Summary:
E above lowest polymorph: 0 meV/atom
SG: Amm2 (38)
Formation energy from raw total energies: -0.667 eV/atom
Calculated volume: 66.6 Å³ per cell


# Be2AlCd2

A geometry-optimized Be2AlCd2 structure (GGA-PBEsol, Alexandria via LeMat-Bulk).

```
data_Be2AlCd2
_space_group_name_H-M_alt 'P 1'
_space_group_IT_number 1
_space_group_name_Hall 'P 1'
_cell_length_a 3.928
_cell_length_b 6.263
_cell_length_c 6.263
_cell_angle_alpha 90.00
_cell_angle_beta 90.00
_cell_angle_gamma 90.00
loop_
_atom_site_label
_atom_site_fract_x
_atom_site_fract_y
_atom_site_fract_z
_atom_site_occupancy
Al1 0.000 0.500 0.500 1
Al2 0.000 0.000 0.000 1
Cd1 0.500 0.831 0.331 1
Cd2 0.500 0.331 0.169 1
Cd3 0.500 0.669 0.831 1
Cd4 0.500 0.169 0.669 1
Be1 0.000 0.626 0.126 1
Be2 0.000 0.126 0.374 1
Be3 0.000 0.374 0.874 1
Be4 0.000 0.874 0.626 1
```

Summary:
Formation energy: 0.366 eV per atom
SG: P4/mbm (127)
Calculated volume: 154.1 Å³ per cell


# Rb4TlSbCl12

A geometry-optimized Rb4TlSbCl12 structure (GGA-PBEsol, Alexandria via LeMat-Bulk).

```
data_Rb4TlSbCl12
_space_group_name_H-M_alt 'P 1'
_space_group_IT_number 1
_space_group_name_Hall 'P 1'
_cell_length_a 7.169
_cell_length_b 7.169
_cell_length_c 10.188
_cell_angle_alpha 90.00
_cell_angle_beta 90.00
_cell_angle_gamma 90.00
loop_
_atom_site_label
_atom_site_fract_x
_atom_site_fract_y
_atom_site_fract_z
_atom_site_occupancy
Cl1 0.736 0.736 0.500 1
Cl2 0.264 0.736 0.500 1
Cl3 0.000 0.000 0.745 1
Cl4 0.500 0.500 0.735 1
Cl5 0.000 0.000 0.255 1
Cl6 0.500 0.500 0.265 1
Cl7 0.745 0.255 0.000 1
Cl8 0.745 0.745 0.000 1
Cl9 0.255 0.255 0.000 1
Cl10 0.736 0.264 0.500 1
Cl11 0.264 0.264 0.500 1
Cl12 0.255 0.745 0.000 1
Sb1 0.500 0.500 0.500 1
Tl1 0.000 0.000 0.000 1
Rb1 0.500 0.000 0.781 1
Rb2 0.000 0.500 0.781 1
Rb3 0.000 0.500 0.219 1
Rb4 0.500 0.000 0.219 1
```

Summary:
SG: P4/mmm (123)
Formation energy from raw total energies: -1.301 eV/atom
Calculated volume: 523.6 Å³ per cell